## CaHgSbI6 (PBE)

Data for a relaxed structure of CaHgSbI6.

Cell lengths 7.7976, 7.7981, 7.3729 Å; angles 89.99, 89.96, 60.00 degrees
Closest atoms and distances in Å follow each position.
Element x y z (fractional)
Ca: 0.6666 0.6667 0.4999  6 I 3.16
Hg: 0.9999 0.0001 0.9996  6 I 3.32
Sb: 0.3334 0.3334 0.4999  6 I 3.05
I: 0.0112 0.3419 0.2591  1 Sb 3.05, 1 Ca 3.16, 1 Hg 3.32
I: 0.3424 0.0110 0.7410  1 Sb 3.05, 1 Ca 3.16, 1 Hg 3.32
I: 0.6463 0.3426 0.7410  1 Sb 3.05, 1 Ca 3.16, 1 Hg 3.32
I: 0.0107 0.6467 0.7410  1 Sb 3.05, 1 Ca 3.16, 1 Hg 3.32
I: 0.3422 0.6468 0.2592  1 Sb 3.05, 1 Ca 3.16, 1 Hg 3.32
I: 0.6470 0.0110 0.2592  1 Sb 3.05, 1 Ca 3.16, 1 Hg 3.32

The value obtained for the density of states at the Fermi level is 4.01 states/eV/f.u. The crystal system is monoclinic. The space group is C2, No. 5. The value obtained for the total energy is -21.7 eV/cell.